The following is a GGA-PBE calculation of NaGaTcSn2 after structural relaxation, from Alexandria via LeMat-Bulk.

The structure in CIF format:
```
data_NaGaTcSn2
_cell_length_a 5.211
_cell_length_b 5.211
_cell_length_c 4.938
_cell_angle_alpha 90.00
_cell_angle_beta 90.00
_cell_angle_gamma 90.00
_symmetry_space_group_name_H-M 'P 1'
_symmetry_Int_Tables_number 1
_symmetry_space_group_name_Hall 'P 1'
loop_
_atom_site_label
_atom_site_type_symbol
_atom_site_fract_x
_atom_site_fract_y
_atom_site_fract_z
Sn1 Sn 0.500 0.000 0.000
Sn2 Sn 0.000 0.500 0.000
Na1 Na 0.500 0.500 0.500
Ga1 Ga 0.000 0.000 0.500
Tc1 Tc 0.000 0.000 0.000
```

Calculated values
The value obtained for the total magnetization is 0.3 μB/f.u. The crystal system is tetragonal. As for the space-group type: P4/mmm (123). Its formation enthalpy at 0 K is 0.04 eV/atom. The energy is -0.3312 Ry per atom.